Entry 1:
A relaxed Pr2ClO crystal, computed with PBE.

Cell: 7.4845 7.4845 7.4845 Å, 28.32 28.32 28.32°
With the nearest neighbours (Å) after each atom.
Sites, in units of the cell vectors:
Pr: 0.2317 0.2317 0.2317  3 O 2.54
Pr: 0.7683 0.7683 0.7683  3 O 2.54
Cl: 0.0000 0.0000 0.0000  6 Pr 3.04
O: 0.5000 0.5000 0.5000  6 Pr 2.54

Output
uncorrected energy	-6.09	eV per atom
E above lowest polymorph	0	meV/atom



Entry 2:
A relaxed Pr2Cl3O crystal, computed with PBE.

Cell: 8.2416 8.2416 10.6597 Å, 117.43 117.43 29.04°
With the nearest neighbours (Å) after each atom.
Sites, in units of the cell vectors:
Pr: 0.0881 0.0881 0.4499  2 O 2.39-2.40
Pr: 0.3649 0.3649 0.2110  2 O 2.36
Pr: 0.6351 0.6351 0.7890  2 O 2.36
Pr: 0.9119 0.9119 0.5501  2 O 2.39-2.40
Cl: 0.1628 0.1628 0.0104  3 Pr 2.90-3.01, 1 O 3.22
Cl: 0.2689 0.2689 0.3843  3 Pr 2.91-2.96
Cl: 0.4508 0.4508 0.7648  3 Pr 2.83-2.92
Cl: 0.5492 0.5492 0.2352  3 Pr 2.83-2.92
Cl: 0.7311 0.7311 0.6157  3 Pr 2.91-2.96
Cl: 0.8372 0.8372 0.9896  3 Pr 2.90-3.01, 1 O 3.22
O: 0.0830 0.0830 0.6703  4 Pr 2.36-2.40
O: 0.9170 0.9170 0.3297  4 Pr 2.36-2.40

Output
uncorrected energy	-5.89	eV per atom



Entry 3:
A relaxed Pr2ClO crystal, computed with PBE.

Cell: 8.0872 8.0872 8.0872 Å, 25.02 25.02 25.02°
With the nearest neighbours (Å) after each atom.
Sites, in units of the cell vectors:
Pr: 0.0000 0.0000 0.0000  3 O 2.61
Pr: 0.1425 0.1425 0.1425  3 O 2.64
Cl: 0.5715 0.5715 0.5715  6 Pr 3.02
O: 0.7369 0.7369 0.7369  6 Pr 2.61-2.64

Output
uncorrected energy	-5.92	eV per atom
E above lowest polymorph	165	meV/atom



Entry 4:
A relaxed PrPu2ClO4 crystal, computed with PBE.

Cell: 4.0065 4.0065 9.0340 Å, 90.00 90.00 90.00°
With the nearest neighbours (Å) after each atom.
Sites, in units of the cell vectors:
Pr: 0.0000 0.0000 0.0000  8 O 2.50
Pu: 0.5000 0.5000 0.2735  4 O 2.23
Pu: 0.5000 0.5000 0.7265  4 O 2.23
Cl: 0.0000 0.0000 0.5000  8 Pu 3.49, 8 O 3.63
O: 0.0000 0.5000 0.1653  2 Pu 2.23
O: 0.0000 0.5000 0.8347  2 Pu 2.23
O: 0.5000 0.0000 0.1653  2 Pu 2.23
O: 0.5000 0.0000 0.8347  2 Pu 2.23

Output
uncorrected energy	-9.77	eV per atom



Entry 5:
A relaxed PrPuClO4 crystal, computed with PBE.

Cell: 7.2187 7.2187 6.7027 Å, 108.49 108.49 60.26°
With the nearest neighbours (Å) after each atom.
Sites, in units of the cell vectors:
Pr: 0.2062 0.2062 0.0733  5 O 2.37-2.58
Pr: 0.7938 0.7938 0.9267  5 O 2.37-2.58
Pu: 0.3722 0.3722 0.7733  4 O 1.85-2.04
Pu: 0.6278 0.6278 0.2267  4 O 1.85-2.04
Cl: 0.0286 0.0286 0.2576  2 Pr 2.91-2.96
Cl: 0.9714 0.9714 0.7424  2 Pr 2.91-2.96
O: 0.0693 0.4494 0.8062  1 Pu 2.04
O: 0.3293 0.3293 0.4779  1 Pu 1.85
O: 0.4243 0.4243 0.0868  1 Pu 1.96
O: 0.4494 0.0693 0.8062  1 Pu 2.04
O: 0.5506 0.9307 0.1938  1 Pu 2.04
O: 0.5757 0.5757 0.9132  1 Pu 1.96
O: 0.6707 0.6707 0.5221  1 Pu 1.85
O: 0.9307 0.5506 0.1938  1 Pu 2.04

Output
uncorrected energy	-8.33	eV per atom



Entry 6:
A relaxed Pr3ReCl2O6 crystal, computed with PBE.

Cell: 6.8636 6.8636 5.6329 Å, 97.24 97.24 57.29°
With the nearest neighbours (Å) after each atom.
Sites, in units of the cell vectors:
Pr: 0.0000 0.0000 0.0000  4 O 2.50, 2 Cl 2.74
Pr: 0.0000 0.5000 0.5000  4 O 2.36-2.45
Pr: 0.5000 0.0000 0.5000  4 O 2.36-2.45
Re: 0.5000 0.5000 0.5000  6 O 1.91-2.03
Cl: 0.2135 0.2135 0.8834  3 Pr 2.74-2.80, 1 O 2.79
Cl: 0.7865 0.7865 0.1166  3 Pr 2.74-2.80, 1 O 2.79
O: 0.2179 0.6706 0.6977  1 Re 2.03
O: 0.3294 0.7821 0.3023  1 Re 2.03
O: 0.3523 0.3523 0.3237  1 Re 1.91
O: 0.6477 0.6477 0.6763  1 Re 1.91
O: 0.6706 0.2179 0.6977  1 Re 2.03
O: 0.7821 0.3294 0.3023  1 Re 2.03

Output
uncorrected energy	-7.23	eV per atom



Entry 7:
A relaxed Pr6Ru2Cl3O crystal, computed with PBE.

Cell: 6.8803 6.8803 7.9374 Å, 98.36 98.36 120.01°
With the nearest neighbours (Å) after each atom.
Sites, in units of the cell vectors:
Pr: 0.0674 0.3870 0.1995  1 O 2.67, 2 Ru 2.79-2.80
Pr: 0.2500 0.2500 0.8014  1 O 2.65, 2 Ru 2.79
Pr: 0.3870 0.0674 0.1995  1 O 2.67, 2 Ru 2.79-2.80
Pr: 0.6130 0.9326 0.8005  1 O 2.67, 2 Ru 2.79-2.80
Pr: 0.7500 0.7500 0.1986  1 O 2.65, 2 Ru 2.79
Pr: 0.9326 0.6130 0.8005  1 O 2.67, 2 Ru 2.79-2.80
Ru: 0.3340 0.6660 0.0000  6 Pr 2.79-2.80
Ru: 0.6660 0.3340 0.0000  6 Pr 2.79-2.80
Cl: 0.1708 0.8292 0.5000  6 Pr 3.21-3.27
Cl: 0.5000 0.5000 0.5000  6 Pr 3.20-3.33
Cl: 0.8292 0.1708 0.5000  6 Pr 3.21-3.27
O: 0.0000 0.0000 0.0000  6 Pr 2.65-2.67

Output
uncorrected energy	-6.08	eV per atom



Entry 8:
A relaxed PrSClO4 crystal, computed with PBE.

Cell: 6.1707 6.1707 6.6398 Å, 100.97 100.97 71.44°
With the nearest neighbours (Å) after each atom.
Sites, in units of the cell vectors:
Pr: 0.2285 0.2285 0.1421  6 O 2.44-2.61
Pr: 0.7715 0.7715 0.8579  6 O 2.44-2.61
S: 0.3641 0.3641 0.7383  4 O 1.46-1.52
S: 0.6359 0.6359 0.2617  4 O 1.46-1.52
Cl: 0.0249 0.0249 0.7623  2 Pr 2.76-2.85
Cl: 0.9751 0.9751 0.2377  2 Pr 2.76-2.85
O: 0.1551 0.4836 0.8496  1 S 1.52
O: 0.2904 0.2904 0.5198  1 S 1.47
O: 0.4836 0.1551 0.8496  1 S 1.52
O: 0.4874 0.4874 0.2382  1 S 1.46
O: 0.5126 0.5126 0.7618  1 S 1.46
O: 0.5164 0.8449 0.1504  1 S 1.52
O: 0.7096 0.7096 0.4802  1 S 1.47
O: 0.8449 0.5164 0.1504  1 S 1.52

Output
uncorrected energy	-6.51	eV per atom
E above lowest polymorph	13	meV/atom



Entry 9:
A relaxed PrSClO4 crystal, computed with PBE.

Cell: 6.7362 8.1641 8.7198 Å, 90.00 114.24 90.00°
With the nearest neighbours (Å) after each atom.
Sites, in units of the cell vectors:
Pr: 0.1132 0.1944 0.2240  5 O 2.43-2.56
Pr: 0.1132 0.3056 0.7240  5 O 2.43-2.56
Pr: 0.8868 0.6944 0.2760  5 O 2.43-2.56
Pr: 0.8868 0.8056 0.7760  5 O 2.43-2.56
S: 0.2786 0.5821 0.0694  4 O 1.46-1.52
S: 0.2786 0.9179 0.5694  4 O 1.46-1.52
S: 0.7214 0.0821 0.4306  4 O 1.46-1.52
S: 0.7214 0.4179 0.9306  4 O 1.46-1.52
Cl: 0.2278 0.0390 0.9703  3 Pr 2.92-2.93, 3 O 3.15-3.20
Cl: 0.2278 0.4610 0.4703  3 Pr 2.92-2.93, 3 O 3.15-3.20
Cl: 0.7722 0.5390 0.5297  3 Pr 2.92-2.93, 3 O 3.15-3.20
Cl: 0.7722 0.9610 0.0297  3 Pr 2.92-2.93, 3 O 3.15-3.20
O: 0.1317 0.6869 0.1177  1 S 1.49
O: 0.1317 0.8131 0.6177  1 S 1.49
O: 0.1743 0.5811 0.8779  1 S 1.52
O: 0.1743 0.9189 0.3779  1 S 1.52
O: 0.2884 0.0885 0.6279  1 S 1.48
O: 0.2884 0.4115 0.1279  1 S 1.48
O: 0.4964 0.6543 0.1287  1 S 1.46
O: 0.4964 0.8457 0.6287  1 S 1.46
O: 0.5036 0.1543 0.3713  1 S 1.46
O: 0.5036 0.3457 0.8713  1 S 1.46
O: 0.7116 0.5885 0.8721  1 S 1.48
O: 0.7116 0.9115 0.3721  1 S 1.48
O: 0.8257 0.0811 0.6221  1 S 1.52
O: 0.8257 0.4189 0.1221  1 S 1.52
O: 0.8683 0.1869 0.3823  1 S 1.49
O: 0.8683 0.3131 0.8823  1 S 1.49

Output
uncorrected energy	-6.53	eV per atom
E above lowest polymorph	0	meV/atom



Entry 10:
A relaxed Pr3SbCl2O6 crystal, computed with PBE.

Cell: 6.9461 6.9461 5.6155 Å, 97.10 97.10 58.76°
With the nearest neighbours (Å) after each atom.
Sites, in units of the cell vectors:
Pr: 0.0000 0.0000 0.0000  4 O 2.51, 2 Cl 2.76
Pr: 0.0000 0.5000 0.5000  4 O 2.33-2.43
Pr: 0.5000 0.0000 0.5000  4 O 2.33-2.43
Sb: 0.5000 0.5000 0.5000  6 O 2.01-2.13
Cl: 0.2118 0.2118 0.8725  3 Pr 2.76-2.79, 1 O 2.81
Cl: 0.7882 0.7882 0.1275  3 Pr 2.76-2.79, 1 O 2.81
O: 0.2067 0.6752 0.7005  1 Sb 2.13
O: 0.3248 0.7933 0.2995  1 Sb 2.13
O: 0.3430 0.3430 0.3281  1 Sb 2.01
O: 0.6570 0.6570 0.6719  1 Sb 2.01
O: 0.6752 0.2067 0.7005  1 Sb 2.13
O: 0.7933 0.3248 0.2995  1 Sb 2.13

Output
uncorrected energy	-6.55	eV per atom



Entry 11:
A relaxed SrPrClO2 crystal, computed with PBE.

Cell: 4.1943 4.1943 6.9987 Å, 90.00 90.00 90.00°
With the nearest neighbours (Å) after each atom.
Sites, in units of the cell vectors:
Sr: 0.0000 0.0000 0.0000  4 O 2.39
Pr: 0.5000 0.5000 0.6881  4 O 2.34
Cl: 0.0000 0.0000 0.4243  1 Sr 2.97
O: 0.0000 0.5000 0.8349  2 Pr 2.34, 2 Sr 2.39
O: 0.5000 0.0000 0.8349  2 Pr 2.34, 2 Sr 2.39

Output
uncorrected energy	-6.50	eV per atom



Entry 12:
A relaxed PrTaClO4 crystal, computed with PBE.

Cell: 6.9778 6.9778 7.2781 Å, 101.53 101.53 60.53°
With the nearest neighbours (Å) after each atom.
Sites, in units of the cell vectors:
Pr: 0.2133 0.2133 0.3483  4 O 2.29-2.40
Pr: 0.7867 0.7867 0.6517  4 O 2.29-2.40
Ta: 0.1401 0.1401 0.7738  4 O 1.85-1.88
Ta: 0.8599 0.8599 0.2262  4 O 1.85-1.88
Cl: 0.4789 0.4789 0.6245  1 Cl 1.99
Cl: 0.5211 0.5211 0.3755  1 Cl 1.99
O: 0.0074 0.6087 0.3576  1 Ta 1.88
O: 0.0182 0.0182 0.2668  1 Ta 1.86
O: 0.2098 0.2098 0.0281  1 Ta 1.85
O: 0.3913 0.9926 0.6424  1 Ta 1.88
O: 0.6087 0.0074 0.3576  1 Ta 1.88
O: 0.7902 0.7902 0.9719  1 Ta 1.85
O: 0.9818 0.9818 0.7332  1 Ta 1.86
O: 0.9926 0.3913 0.6424  1 Ta 1.88

Output
uncorrected energy	-8.06	eV per atom